This record from the Open Quantum Materials Database describes an optimized crystal structure of Zr3As. The functional is PBE.

Output
The total magnetic moment comes out at 0.000 μB/f.u. The value obtained for the total energy is -7.962 eV/atom. As for the volume: 20.3 Å³/atom.

Unit cell a=6.0852 b=6.0852 c=5.0656 alpha=90.00 beta=90.00 gamma=120.00
With the nearest neighbours (Å) after each atom.
Fractional positions:
Zr  0.8354  0.1646  0.5000  8 Zr 3.01-3.09, 4 As 3.04-3.07
Zr  0.3292  0.1646  0.5000  8 Zr 3.01-3.09, 4 As 3.04-3.07
Zr  0.4979  0.9959  0.0000  8 Zr 3.01-3.09, 4 As 3.04-3.07
As  0.0000  0.0000  0.0000  12 Zr 3.04-3.07
As  0.3333  0.6667  0.5000  12 Zr 3.04-3.07
Zr  0.0041  0.5021  0.0000  8 Zr 3.01-3.09, 4 As 3.04-3.07
Zr  0.8354  0.6708  0.5000  8 Zr 3.01-3.09, 4 As 3.04-3.07
Zr  0.4979  0.5021  0.0000  8 Zr 3.01-3.09, 4 As 3.04-3.07



This record from the Open Quantum Materials Database describes an optimized crystal structure of Sr2ZrP2. The functional is PBE.

Output
The total magnetic moment comes out at 0.028 μB/f.u. The value obtained for the total energy is -5.555 eV/atom. As for the volume: 28.6 Å³/atom.

Unit cell a=3.9830 b=3.9830 c=10.4190 alpha=90.30 beta=90.30 gamma=59.96
With the nearest neighbours (Å) after each atom.
Fractional positions:
P  0.3321  0.3321  0.8606  3 Zr 2.72, 3 Sr 2.93
Zr  0.0000  0.0000  0.0000  6 P 2.72
Sr  0.6636  0.6636  0.6864  3 P 2.93
P  0.6679  0.6679  0.1394  3 Zr 2.72, 3 Sr 2.93
Sr  0.3364  0.3364  0.3136  3 P 2.93



This record from the Open Quantum Materials Database describes an optimized crystal structure of Pr2Nd2CBr4Cl. The functional is PBE.

Output
The total magnetic moment comes out at 0.257 μB/f.u. The value obtained for the total energy is -5.164 eV/atom. As for the volume: 29.0 Å³/atom.

Unit cell a=9.4487 b=9.4487 c=8.2129 alpha=103.64 beta=103.64 gamma=24.06
With the nearest neighbours (Å) after each atom.
Fractional positions:
Br  0.1694  0.1694  0.8228  3 Pr 3.03-3.38, 1 Nd 3.05
Br  0.8365  0.8365  0.6392  2 Pr 2.98, 1 Nd 2.99
Nd  0.0010  0.0010  0.7869  2 C 2.64
Pr  0.3579  0.3579  0.9186  1 C 2.55
C  0.5000  0.5000  0.0000  2 Pr 2.55, 4 Nd 2.64
Nd  0.9990  0.9990  0.2131  2 C 2.64
Br  0.8306  0.8306  0.1772  3 Pr 3.03-3.38, 1 Nd 3.05
Pr  0.6421  0.6421  0.0814  1 C 2.55
Br  0.1635  0.1635  0.3608  2 Pr 2.98, 1 Nd 2.99
Cl  0.5000  0.5000  0.5000  4 Nd 3.07



This record from the Open Quantum Materials Database describes an optimized crystal structure of TbYBC2. The functional is PBE.

Output
The total magnetic moment comes out at 0.046 μB/f.u. The value obtained for the total energy is -7.684 eV/atom. As for the volume: 14.6 Å³/atom.

Unit cell a=3.6357 b=3.6357 c=6.0448 alpha=106.95 beta=106.95 gamma=89.99
With the nearest neighbours (Å) after each atom.
Fractional positions:
B  0.0002  0.0002  0.0003  2 C 1.49
Tb  0.6512  0.6512  0.2961  5 C 2.39-2.58
C  0.1379  0.1379  0.2710  1 B 1.49
Y  0.3486  0.3486  0.7034  5 C 2.38-2.58
C  0.8621  0.8621  0.7292  1 B 1.49



This record from the Open Quantum Materials Database describes an optimized crystal structure of ThAlPt. The functional is PBE.

Output
The total magnetic moment comes out at 0.002 μB/f.u. The value obtained for the total energy is -6.549 eV/atom. As for the volume: 21.2 Å³/atom.

Unit cell a=6.9947 b=6.9947 c=4.4935 alpha=90.00 beta=90.00 gamma=120.00
With the nearest neighbours (Å) after each atom.
Fractional positions:
Al  0.6667  0.3333  0.0000  3 Pt 2.69
Pt  0.7543  0.7543  0.0000  4 Al 2.69-2.83, 2 Pt 2.98
Al  0.3333  0.6667  0.0000  3 Pt 2.69
Th  0.0000  0.5663  0.5000  5 Al 3.03-3.06, 2 Pt 3.17
Th  0.5663  0.0000  0.5000  5 Al 3.03-3.06, 2 Pt 3.17
Pt  0.0000  0.2457  0.0000  4 Al 2.69-2.83, 2 Pt 2.98
Pt  0.2457  0.0000  0.0000  4 Al 2.69-2.83, 2 Pt 2.98
Al  0.0000  0.0000  0.5000  6 Pt 2.83, 3 Th 3.03
Th  0.4337  0.4337  0.5000  5 Al 3.03-3.06, 2 Pt 3.17



This record from the Open Quantum Materials Database describes an optimized crystal structure of NiSb2Os2. The functional is PBE.

Output
The total magnetic moment comes out at 0.003 μB/f.u. The value obtained for the total energy is -6.990 eV/atom. As for the volume: 21.0 Å³/atom.

Unit cell a=4.1931 b=4.1947 c=6.8868 alpha=89.76 beta=89.69 gamma=60.14
With the nearest neighbours (Å) after each atom.
Fractional positions:
Sb  0.1697  0.1694  0.7150  4 Os 2.67-2.73
Os  0.1656  0.1657  0.1026  3 Ni 2.52, 4 Sb 2.67-2.73, 3 Os 2.80-2.81
Sb  0.8303  0.8306  0.2851  4 Os 2.67-2.73
Os  0.8344  0.8343  0.8974  3 Ni 2.52, 4 Sb 2.67-2.73, 3 Os 2.80-2.81
Ni  0.5000  0.5000  0.9999  6 Os 2.52



This record from the Open Quantum Materials Database describes an optimized crystal structure of Tc. The functional is PBE.

Output
The calculation puts the excess energy over the best structure of this formula in the dataset at 25.2 kJ/mol of formula units. The value obtained for the energy of formation is 0.262 eV/atom. The total magnetic moment comes out at 0.001 μB/f.u. The value obtained for the total energy is -10.099 eV/atom. As for the volume: 14.7 Å³/atom.

Unit cell a=2.6728 b=2.6728 c=2.6728 alpha=109.47 beta=109.47 gamma=109.47
With the nearest neighbours (Å) after each atom.
Fractional positions:
Tc  0.0000  0.0000  0.0000  8 Tc 2.67



This record from the Open Quantum Materials Database describes an optimized crystal structure of Nd2Y2CI4Br. The functional is PBE.

Output
The calculation puts the excess energy over the best structure of this formula in the dataset at 22.2 kJ/mol of formula units. The total magnetic moment comes out at 0.020 μB/f.u. The value obtained for the total energy is -5.110 eV/atom. As for the volume: 31.7 Å³/atom.

Unit cell a=9.7756 b=9.7756 c=8.5411 alpha=102.40 beta=102.40 gamma=23.45
With the nearest neighbours (Å) after each atom.
Fractional positions:
I  0.8390  0.8390  0.6429  1 Y 3.10, 2 Nd 3.13
I  0.1610  0.1610  0.3571  1 Y 3.10, 2 Nd 3.13
I  0.1656  0.1656  0.8034  2 Nd 3.16, 1 Y 3.17
C  0.5000  0.5000  0.0000  2 Nd 2.52, 4 Y 2.59
Y  0.9995  0.9995  0.1945  2 C 2.59
Nd  0.3653  0.3653  0.9327  1 C 2.52
Br  0.5000  0.5000  0.5000  4 Y 3.28
I  0.8344  0.8344  0.1966  2 Nd 3.16, 1 Y 3.17
Y  0.0005  0.0005  0.8055  2 C 2.59
Nd  0.6347  0.6347  0.0673  1 C 2.52



This record from the Open Quantum Materials Database describes an optimized crystal structure of NaSrTeIr. The functional is PBE.

Output
The calculation puts the excess energy over the best structure of this formula in the dataset at 0.0 kJ/mol of formula units. The total magnetic moment comes out at 0.000 μB/f.u. The value obtained for the total energy is -3.936 eV/atom. As for the volume: 22.2 Å³/atom.

Unit cell a=5.0080 b=5.0080 c=5.0080 alpha=60.00 beta=60.00 gamma=60.00
With the nearest neighbours (Å) after each atom.
Fractional positions:
Na  0.7500  0.7500  0.7500  4 Sr 3.07, 4 Te 3.07
Te  0.5000  0.5000  0.5000  4 Ir 3.07, 4 Na 3.07
Sr  0.0000  0.0000  0.0000  4 Na 3.07, 4 Ir 3.07
Ir  0.2500  0.2500  0.2500  4 Te 3.07, 4 Sr 3.07



This record from the Open Quantum Materials Database describes an optimized crystal structure of Zr3TaZn4. The functional is PBE.

Output
The value obtained for the energy of formation is 0.293 eV/atom. The total magnetic moment comes out at 0.173 μB/f.u. The value obtained for the total energy is -5.026 eV/atom. As for the volume: 19.7 Å³/atom.

Unit cell a=5.4043 b=5.4043 c=5.4043 alpha=90.00 beta=90.00 gamma=90.00
With the nearest neighbours (Å) after each atom.
Fractional positions:
Zn  0.5000  0.0000  0.0000  2 Ta 2.70, 4 Zr 2.70
Zr  0.5000  0.5000  0.0000  6 Zn 2.70
Zr  0.5000  0.0000  0.5000  6 Zn 2.70
Ta  0.0000  0.0000  0.0000  6 Zn 2.70
Zr  0.0000  0.5000  0.5000  6 Zn 2.70
Zn  0.0000  0.0000  0.5000  2 Ta 2.70, 4 Zr 2.70
Zn  0.0000  0.5000  0.0000  2 Ta 2.70, 4 Zr 2.70
Zn  0.5000  0.5000  0.5000  6 Zr 2.70



This record from the Open Quantum Materials Database describes an optimized crystal structure of LuTc. The functional is PBE.

Output
The value obtained for the energy of formation is 1.899 eV/atom. The total magnetic moment comes out at 1.999 μB/f.u. The value obtained for the total energy is -5.543 eV/atom. As for the volume: 28.7 Å³/atom.

Unit cell a=4.3324 b=4.3324 c=4.3324 alpha=60.00 beta=60.00 gamma=60.00
With the nearest neighbours (Å) after each atom.
Fractional positions:
Tc  0.2500  0.2500  0.2500  4 Lu 2.65
Lu  0.0000  0.0000  0.0000  4 Tc 2.65



This record from the Open Quantum Materials Database describes an optimized crystal structure of RePPbO. The functional is PBE.

Output
The calculation puts the excess energy over the best structure of this formula in the dataset at 79.1 kJ/mol of formula units. The total magnetic moment comes out at 0.000 μB/f.u. The value obtained for the total energy is -6.833 eV/atom. As for the volume: 20.4 Å³/atom.

Unit cell a=3.5166 b=6.2753 c=7.3802 alpha=90.00 beta=90.00 gamma=90.00
With the nearest neighbours (Å) after each atom.
Fractional positions:
P  0.5000  0.5944  0.7765  2 Re 2.26-2.30
O  0.0000  0.8048  0.4463  2 Re 1.93
Pb  0.0000  0.7570  0.0509  2 O 2.86-2.93, 2 P 2.87
P  0.5000  0.4056  0.2765  2 Re 2.26-2.30
Re  0.5000  0.3172  0.9802  2 O 1.93
O  0.0000  0.1952  0.9463  2 Re 1.93
Pb  0.0000  0.2430  0.5509  2 O 2.86-2.93, 2 P 2.87
Re  0.5000  0.6828  0.4802  2 O 1.93